Record 1
This record from Alexandria via LeMat-Bulk describes a relaxed structure of GaSnTe2N. The functional is PBE.

abc: 5.9652 5.9652 3.5153
angles: 90.00 90.00 90.00
Last column: nearest neighbours and their distance in Å.
Space group P4/mmm (No. 123)
Inequivalent atoms, fractional coordinates:
1 Ga 0.0000 0.0000 0.0000 (multiplicity 1)  2 N 1.76
2 Sn 0.5000 0.5000 0.5000 (multiplicity 1)  8 Te 3.46, 2 Sn 3.52
3 Te 0.0000 0.5000 0.0000 (multiplicity 2)  2 Ga 2.98
4 N 0.0000 0.0000 0.5000 (multiplicity 1)  2 Ga 1.76

Summary:
The uncorrected formation energy is 0.46 eV/atom. The calculation puts the raw total energy at -3.8715 eV per atom. The theoretical density comes out at 6.075 g/cm3.

Record 2
This record from Alexandria via LeMat-Bulk describes a relaxed structure of GaSnTeN2. The functional is PBE.

abc: 4.1720 4.1720 6.1777
angles: 90.00 90.00 90.00
Last column: nearest neighbours and their distance in Å.
Space group P4/mmm (No. 123)
Inequivalent atoms, fractional coordinates:
1 Ga 0.0000 0.0000 0.0000 (multiplicity 1)  4 Te 2.95
2 Sn 0.5000 0.5000 0.5000 (multiplicity 1)  4 N 2.09
3 Te 0.5000 0.5000 0.0000 (multiplicity 1)  4 Ga 2.95, 2 Sn 3.09
4 N 0.0000 0.5000 0.5000 (multiplicity 2)  2 Sn 2.09

Summary:
The uncorrected formation energy is 1.16 eV/atom. The calculation puts the raw total energy at -4.2023 eV per atom. The theoretical density comes out at 5.313 g/cm3.

Record 3
This record from Alexandria via LeMat-Bulk describes a relaxed structure of Th2GaSnN5. The functional is PBE.

abc: 3.4202 14.1522 10.1715
angles: 90.00 90.00 90.00
Last column: nearest neighbours and their distance in Å.
Space group Cmc2_1 (No. 36)
Inequivalent atoms, fractional coordinates:
1 Th 0.0000 0.1181 0.0000 (multiplicity 4)  7 N 2.45-2.63
2 Th 0.0000 0.1301 0.5905 (multiplicity 4)  6 N 2.46-2.70
3 Ga 0.0000 0.4861 0.7752 (multiplicity 4)  4 N 1.95-2.10
4 Sn 0.0000 0.2104 0.3029 (multiplicity 4)  6 N 2.23-2.32
5 N 0.0000 0.0554 0.3460 (multiplicity 4)  2 Ga 1.95
6 N 0.0000 0.2889 0.9577 (multiplicity 4)  2 Sn 2.32, 3 Th 2.45-2.46
7 N 0.0000 0.2990 0.6593 (multiplicity 4)  2 Sn 2.25, 1 Th 2.49
8 N 0.0000 0.3680 0.3139 (multiplicity 4)  1 Ga 2.10, 1 Sn 2.23
9 N 0.0000 0.4981 0.0820 (multiplicity 4)  1 Ga 1.98

Summary:
The uncorrected formation energy is -0.79 eV/atom. The calculation puts the raw total energy at -7.8407 eV per atom. The theoretical density comes out at 9.748 g/cm3.

Record 4
This record from Alexandria via LeMat-Bulk describes a relaxed structure of ThGaSn2N. The functional is PBE.

abc: 4.0401 4.0401 15.6428
angles: 90.00 90.00 90.00
Last column: nearest neighbours and their distance in Å.
Space group P4/nmm (No. 129, origin choice 2)
Inequivalent atoms, fractional coordinates:
1 Th 0.2500 0.2500 0.0746 (multiplicity 2)  4 N 2.33
2 Ga 0.2500 0.2500 0.6103 (multiplicity 2)  6 Sn 2.65-2.92
3 Sn 0.2500 0.2500 0.4272 (multiplicity 2)  5 Ga 2.86-2.92
4 Sn 0.2500 0.2500 0.7795 (multiplicity 2)  1 Ga 2.65
5 N 0.2500 0.7500 0.0000 (multiplicity 2)  4 Th 2.33

Summary:
The uncorrected formation energy is -0.62 eV/atom. The calculation puts the raw total energy at -5.9765 eV per atom. The theoretical density comes out at 7.196 g/cm3.